Computed, not measured: Mg5Au3 at its PBEsol-relaxed geometry at the meta-GGA SCAN level of DFT. Values from VASP.

Geometry as Quantum ESPRESSO input:
```
&SYSTEM
  ibrav = 0, nat = 16, ntyp = 2
/
ATOMIC_SPECIES
Au 196.97 Au.upf
Mg 24.30 Mg.upf
CELL_PARAMETERS angstrom
-0.439 5.051 1.654
-7.652 1.880 0.827
-0.019 0.220 7.920
ATOMIC_POSITIONS angstrom
Au -0.329 3.789 1.241
Au -3.901 1.797 2.075
Mg -3.946 2.313 4.787
Mg -6.908 5.409 7.441
Mg -5.464 2.618 7.752
Mg -5.608 4.276 2.650
Au -1.647 3.785 5.201
Mg -4.165 4.838 5.614
Mg -6.988 6.328 4.615
Mg -1.123 0.823 5.786
Au -6.464 3.366 5.201
Au -0.110 1.263 0.414
Mg -2.647 4.533 2.650
Mg -1.203 1.741 2.961
Au -4.210 5.354 8.326
Mg -2.503 2.875 7.752
```

Summary:
Energy above the lowest structure with this stoichiometry, eV/atom: 0.000



Computed, not measured: Ho3Ag4Sn4 at its PBEsol-relaxed geometry at the meta-GGA SCAN level of DFT. Values from VASP.

Geometry as Quantum ESPRESSO input:
```
&SYSTEM
  ibrav = 0, nat = 11, ntyp = 3
/
ATOMIC_SPECIES
Ag 107.87 Ag.upf
Ho 164.93 Ho.upf
Sn 118.71 Sn.upf
CELL_PARAMETERS angstrom
4.493 0.000 0.000
0.000 7.237 0.000
-2.246 -3.619 7.492
ATOMIC_POSITIONS angstrom
Ag 2.246 5.801 2.579
Ho 0.000 3.619 1.911
Ag 0.000 2.182 4.912
Ho 0.000 0.000 0.000
Ag 2.246 1.436 2.579
Sn 2.246 2.193 0.000
Sn 2.246 5.044 0.000
Sn 0.000 0.000 3.212
Sn 2.246 3.619 4.279
Ag 0.000 -2.182 4.912
Ho 2.246 0.000 5.581
```

Summary:
Total DFT energy (no corrections), eV/cell: -422.019



Computed, not measured: KSiRh at its PBEsol-relaxed geometry at the meta-GGA SCAN level of DFT. Values from VASP.

Geometry as Quantum ESPRESSO input:
```
&SYSTEM
  ibrav = 0, nat = 3, ntyp = 3
/
ATOMIC_SPECIES
Si 28.09 Si.upf
Rh 102.91 Rh.upf
K 39.10 K.upf
CELL_PARAMETERS angstrom
3.926 0.000 0.000
-1.963 3.400 0.000
0.000 0.000 5.440
ATOMIC_POSITIONS angstrom
Si 1.963 1.133 2.720
Rh 0.000 2.267 2.720
K 0.000 0.000 0.000
```

Summary:
Formation energy (no corrections), eV per atom: -0.248



Computed, not measured: HgAsPdS2 at its PBEsol-relaxed geometry at the meta-GGA SCAN level of DFT. Values from VASP.

Geometry as Quantum ESPRESSO input:
```
&SYSTEM
  ibrav = 0, nat = 5, ntyp = 4
/
ATOMIC_SPECIES
As 74.92 As.upf
Hg 200.59 Hg.upf
S 32.06 S.upf
Pd 106.42 Pd.upf
CELL_PARAMETERS angstrom
-3.563 -1.539 -2.458
0.303 -4.070 2.109
-3.129 1.599 3.535
ATOMIC_POSITIONS angstrom
As -1.565 0.799 1.768
Hg -3.195 -2.005 1.593
S -1.781 -0.770 -1.229
S 0.152 -2.035 1.055
Pd 0.000 0.000 0.000
```

Summary:
Formation energy (no corrections), eV per atom: 0.521



Computed, not measured: MgFeHBr2 at its PBEsol-relaxed geometry at the meta-GGA SCAN level of DFT. Values from VASP.

Geometry as Quantum ESPRESSO input:
```
&SYSTEM
  ibrav = 0, nat = 5, ntyp = 4
/
ATOMIC_SPECIES
H 1.01 H.upf
Br 79.90 Br.upf
Fe 55.84 Fe.upf
Mg 24.30 Mg.upf
CELL_PARAMETERS angstrom
3.315 0.000 0.000
0.000 5.257 0.000
0.000 0.000 5.257
ATOMIC_POSITIONS angstrom
H 0.000 0.000 0.000
Br 0.000 0.000 2.629
Br 0.000 2.629 0.000
Fe 1.657 2.629 2.629
Mg 1.657 0.000 0.000
```

Summary:
Total DFT energy (no corrections), eV/cell: -65.393



Computed, not measured: YTcRu at its PBEsol-relaxed geometry at the meta-GGA SCAN level of DFT. Values from VASP.

Geometry as Quantum ESPRESSO input:
```
&SYSTEM
  ibrav = 0, nat = 3, ntyp = 3
/
ATOMIC_SPECIES
Y 88.91 Y.upf
Ru 101.07 Ru.upf
Tc 98.00 Tc.upf
CELL_PARAMETERS angstrom
4.349 0.000 0.000
2.175 3.766 0.000
2.175 1.255 3.551
ATOMIC_POSITIONS angstrom
Y 0.000 0.000 0.000
Ru 4.349 2.511 1.776
Tc 6.524 3.766 2.663
```

Summary:
Total DFT energy (no corrections), eV/cell: -96.472



Computed, not measured: NaAlSi3O8 at its PBEsol-relaxed geometry at the meta-GGA SCAN level of DFT. Values from VASP.

Geometry as Quantum ESPRESSO input:
```
&SYSTEM
  ibrav = 0, nat = 26, ntyp = 4
/
ATOMIC_SPECIES
O 16.00 O.upf
Si 28.09 Si.upf
Al 26.98 Al.upf
Na 22.99 Na.upf
CELL_PARAMETERS angstrom
-0.270 1.892 6.836
1.379 -7.538 0.717
5.580 4.114 -3.291
ATOMIC_POSITIONS angstrom
O 0.634 -1.443 3.044
Si 4.808 2.363 -0.998
Al 4.134 -3.089 1.161
O 6.055 -0.089 1.217
O 5.106 2.553 -2.601
Na 1.984 -0.399 -0.095
O 1.667 2.621 4.164
Al 2.554 1.557 3.101
Na 4.705 -1.134 4.356
O 4.397 0.807 -0.678
O 0.610 -0.302 5.457
O 5.022 -4.154 0.098
O 1.582 -4.086 6.862
O 2.718 -0.011 3.889
Si 4.654 3.715 2.766
O 1.665 1.319 1.597
O 5.024 -2.851 2.665
Si 1.881 -3.895 5.259
Si 1.540 -1.026 4.318
Si 2.034 -5.247 1.496
O 3.970 -1.521 0.373
Si 5.149 -0.506 -0.056
O 6.079 -1.230 -1.195
O 2.531 -3.724 1.434
O 2.292 -2.340 4.939
O 4.158 2.191 2.827
```

Summary:
Formation energy (no corrections), eV per atom: -3.038



Computed, not measured: Y2Zr2B at its PBEsol-relaxed geometry at the meta-GGA SCAN level of DFT. Values from VASP.

Geometry as Quantum ESPRESSO input:
```
&SYSTEM
  ibrav = 0, nat = 5, ntyp = 3
/
ATOMIC_SPECIES
B 10.81 B.upf
Zr 91.22 Zr.upf
Y 88.91 Y.upf
CELL_PARAMETERS angstrom
-1.576 -3.453 0.447
2.689 -1.519 -2.253
3.937 1.239 7.106
ATOMIC_POSITIONS angstrom
B 0.000 0.000 0.000
Zr 3.821 -1.060 5.275
Y 3.591 -1.383 1.976
Zr 1.229 -2.673 0.026
Y 1.459 -2.350 3.326
```

Summary:
Total DFT energy (no corrections), eV/cell: -118.403



Computed, not measured: Dy2TeS2 at its PBEsol-relaxed geometry at the meta-GGA SCAN level of DFT. Values from VASP.

Geometry as Quantum ESPRESSO input:
```
&SYSTEM
  ibrav = 0, nat = 5, ntyp = 3
/
ATOMIC_SPECIES
S 32.06 S.upf
Dy 162.50 Dy.upf
Te 127.60 Te.upf
CELL_PARAMETERS angstrom
-2.181 -1.341 -3.225
1.556 -4.971 1.016
-4.973 2.305 5.034
ATOMIC_POSITIONS angstrom
S -3.156 -0.508 2.346
Dy -2.861 -0.956 -0.296
S -2.442 -3.499 0.479
Te 0.000 0.000 0.000
Dy -2.738 -3.052 3.121
```

Summary:
Formation energy (no corrections), eV per atom: -2.092



Computed, not measured: YHgPb2 at its PBEsol-relaxed geometry at the meta-GGA SCAN level of DFT. Values from VASP.

Geometry as Quantum ESPRESSO input:
```
&SYSTEM
  ibrav = 0, nat = 4, ntyp = 3
/
ATOMIC_SPECIES
Y 88.91 Y.upf
Hg 200.59 Hg.upf
Pb 207.20 Pb.upf
CELL_PARAMETERS angstrom
-4.244 0.703 -0.867
-0.844 -4.508 0.478
1.651 2.592 5.126
ATOMIC_POSITIONS angstrom
Y -2.559 -1.891 -0.112
Hg -0.862 -1.914 2.670
Pb -2.575 0.701 2.064
Pb -3.423 -1.224 4.656
```

Summary:
Total DFT energy (no corrections), eV/cell: -249.255



Computed, not measured: LiRh2Pb2 at its PBEsol-relaxed geometry at the meta-GGA SCAN level of DFT. Values from VASP.

Geometry as Quantum ESPRESSO input:
```
&SYSTEM
  ibrav = 0, nat = 10, ntyp = 3
/
ATOMIC_SPECIES
Rh 102.91 Rh.upf
Pb 207.20 Pb.upf
Li 6.94 Li.upf
CELL_PARAMETERS angstrom
3.383 0.000 0.000
0.000 7.410 0.000
0.000 0.000 7.410
ATOMIC_POSITIONS angstrom
Rh 0.000 2.694 6.399
Pb 1.692 4.909 6.207
Pb 1.692 1.203 4.909
Li 0.000 3.705 3.705
Pb 1.692 2.502 1.203
Rh 0.000 1.011 2.694
Li 0.000 0.000 0.000
Rh 0.000 4.716 1.011
Rh 0.000 6.399 4.716
Pb 1.692 6.207 2.502
```

Summary:
Total DFT energy (no corrections), eV/cell: -444.309



Computed, not measured: K2CdH at its PBEsol-relaxed geometry at the meta-GGA SCAN level of DFT. Values from VASP.

Geometry as Quantum ESPRESSO input:
```
&SYSTEM
  ibrav = 0, nat = 4, ntyp = 3
/
ATOMIC_SPECIES
H 1.01 H.upf
Cd 112.41 Cd.upf
K 39.10 K.upf
CELL_PARAMETERS angstrom
-3.527 0.413 -4.372
-5.020 -2.549 0.180
-4.702 3.068 0.455
ATOMIC_POSITIONS angstrom
H 0.000 0.000 0.000
Cd -6.624 0.466 -1.869
K -3.312 0.233 -0.934
K -9.937 0.699 -2.803
```

Summary:
Total DFT energy (no corrections), eV/cell: -49.783



Computed, not measured: ZrRe2GeSb at its PBEsol-relaxed geometry at the meta-GGA SCAN level of DFT. Values from VASP.

Geometry as Quantum ESPRESSO input:
```
&SYSTEM
  ibrav = 0, nat = 5, ntyp = 4
/
ATOMIC_SPECIES
Zr 91.22 Zr.upf
Sb 121.76 Sb.upf
Ge 72.64 Ge.upf
Re 186.21 Re.upf
CELL_PARAMETERS angstrom
4.807 0.000 0.000
0.000 4.807 0.000
0.000 0.000 4.961
ATOMIC_POSITIONS angstrom
Zr 0.000 0.000 0.000
Sb 2.404 2.404 2.480
Ge 0.000 0.000 2.480
Re 2.404 0.000 0.000
Re 0.000 2.404 0.000
```

Summary:
Formation energy (no corrections), eV per atom: 2.022



no.,spin magnetization (Bohr magnetons per cell)
1,0.000
2,0.000
3,0.000
4,0.871
5,3.143
6,0.000
7,0.001
8,0.000
9,0.000
10,0.000
11,0.000
12,0.000
13,0.162